This record from Alexandria via LeMat-Bulk describes a relaxed structure of PmHo5Er12. The functional is PBE-GGA.

Geometry as POSCAR:
```
PmHo5Er12
1.0
-0.597 -6.024 -8.632
8.593 -1.647 -5.889
-0.695 -4.948 3.495
Pm Ho Er
1 5 12
direct
0.000 0.000 0.000
0.500 0.000 0.500
0.167 0.666 0.499
0.833 0.334 0.501
0.667 0.667 0.000
0.333 0.333 0.000
0.832 0.000 0.500
0.168 0.000 0.500
0.666 0.000 0.000
0.334 0.000 0.000
0.335 0.665 0.999
0.000 0.666 0.999
0.000 0.334 0.001
0.665 0.335 0.001
0.500 0.334 0.500
0.833 0.666 0.500
0.167 0.334 0.500
0.500 0.666 0.500
```

Properties
**DFT formation energy**: 0.022 eV per atom
**E_tot**: -4.5552 eV/atom